# 1
Here is crystalline AgBr2F4 at its relaxed geometry from the Alexandria database. Energies are from PBE-GGA.

The calculation puts the mass density at 3.74 g cm⁻³. The formation energy without anion corrections is -562 meV per atom. The value obtained for the total magnetization is 0.00 μB per formula unit.

a b c (Å): 4.0770 4.0770 18.3544
angles (deg): 90.00 90.00 90.00
Last column: nearest neighbours and their distance in Å.
Space group I4/mmm (No. 139)
Symmetry-distinct sites (fractional):
Ag  0.0000  0.0000  0.0000 (multiplicity 2)  6 F 1.96-2.04
Br  0.0000  0.0000  0.2533 (multiplicity 4)  1 F 2.69, 4 Br 2.89
F  0.0000  0.0000  0.1070 (multiplicity 4)  1 Ag 1.96
F  0.0000  0.5000  0.0000 (multiplicity 4)  2 Ag 2.04

=====

# 2
Here is crystalline NaGa4Pt2 at its relaxed geometry from the Alexandria database. Energies are from PBE-GGA.

The calculation puts the mass density at 8.73 g cm⁻³. The value obtained for the total magnetization is 0.00 μB per formula unit. The calculated formation energy is -0.469 eV/atom. The energy above the most stable polymorph in this dataset is 50 meV/atom.

a b c (Å): 8.2519 8.2519 3.8646
angles (deg): 90.00 90.00 90.00
Last column: nearest neighbours and their distance in Å.
Space group P4_2/mnm (No. 136)
Symmetry-distinct sites (fractional):
Na  0.0000  0.0000  0.0000 (multiplicity 2)  6 Pt 3.10-3.35, 8 Ga 3.25
Ga  0.0629  0.3106  0.5000 (multiplicity 8)  3 Pt 2.53-2.58
Pt  0.2340  0.7660  0.5000 (multiplicity 4)  6 Ga 2.53-2.58

=====

# 3
Here is crystalline K2HgW at its relaxed geometry from the Alexandria database. Energies are from PBE-GGA.

The calculation puts the mass density at 7.26 g cm⁻³. The value obtained for the total magnetization is 1.31 μB per formula unit. The calculated formation energy is 1.200 eV/atom.

a b c (Å): 2.9121 5.8260 6.2407
angles (deg): 90.00 90.01 90.00
Last column: nearest neighbours and their distance in Å.
Space group P2/m (No. 10)
Symmetry-distinct sites (fractional):
K  0.0018  0.0000  0.2476 (multiplicity 2)  4 K 2.91-3.15
Hg  0.5000  0.5000  0.5000 (multiplicity 1)  2 Hg 2.91, 2 W 3.12
W  0.5000  0.5000  0.0000 (multiplicity 1)  2 W 2.91, 2 Hg 3.12